No. 1
{
  "formula": "Nd2AgP",
  "functional": "PBE",
  "state": "optimized geometry",
  "magnetic_moment_mub_per_cell": 0.000,
  "total_energy_ev_per_atom": -5.153,
  "formation_enthalpy_0k_ev_per_atom": -0.704,
  "n_ef_per_ev_fu": 3.1,
  "lattice": [[3.694, 0.000, 0.000], [0.000, 3.694, 0.000], [0.000, 0.000, 7.157]],
  "species": ["Nd", "Nd", "Ag", "P"],
  "frac_coords": [[0.000, 0.000, 0.227], [0.000, 0.000, 0.773], [0.500, 0.500, 0.500], [0.500, 0.500, 0.000]]
}

No. 2
{
  "formula": "MnPt6W",
  "functional": "PBE",
  "state": "optimized geometry",
  "magnetic_moment_mub_per_cell": 5.253,
  "total_energy_ev_per_atom": -7.615,
  "formation_enthalpy_0k_ev_per_atom": -0.319,
  "n_ef_per_ev_fu": 4.1,
  "lattice": [[3.966, 0.000, 0.000], [0.000, 3.966, 0.000], [0.000, 0.000, 7.876]],
  "species": ["Mn", "Pt", "Pt", "Pt", "Pt", "Pt", "Pt", "W"],
  "frac_coords": [[0.000, 0.000, 0.000], [0.000, 0.500, 0.255], [0.000, 0.500, 0.745], [0.500, 0.000, 0.255], [0.500, 0.000, 0.745], [0.500, 0.500, 0.000], [0.500, 0.500, 0.500], [0.000, 0.000, 0.500]]
}

No. 3
{
  "formula": "NiHIr",
  "functional": "PBE",
  "state": "optimized geometry",
  "magnetic_moment_mub_per_cell": 0.966,
  "total_energy_ev_per_atom": -5.493,
  "polymorph_energy_mev_per_atom": 419,
  "n_ef_per_ev_fu": 4.3,
  "lattice": [[1.289, -10.685, 0.000], [1.289, 10.685, 0.000], [0.000, 0.000, 2.610]],
  "species": ["Ni", "Ni", "H", "H", "Ir", "Ir"],
  "frac_coords": [[0.047, 0.953, 0.750], [0.953, 0.047, 0.250], [0.299, 0.701, 0.750], [0.701, 0.299, 0.250], [0.354, 0.646, 0.250], [0.646, 0.354, 0.750]]
}

Please write out number 1 again, unchanged.
{
  "formula": "Nd2AgP",
  "functional": "PBE",
  "state": "optimized geometry",
  "magnetic_moment_mub_per_cell": 0.000,
  "total_energy_ev_per_atom": -5.153,
  "formation_enthalpy_0k_ev_per_atom": -0.704,
  "n_ef_per_ev_fu": 3.1,
  "lattice": [[3.694, 0.000, 0.000], [0.000, 3.694, 0.000], [0.000, 0.000, 7.157]],
  "species": ["Nd", "Nd", "Ag", "P"],
  "frac_coords": [[0.000, 0.000, 0.227], [0.000, 0.000, 0.773], [0.500, 0.500, 0.500], [0.500, 0.500, 0.000]]
}